Density functional theory data (PBEsol) for a relaxed structure of CaAlIr.

Output
Volume   62.8 Å³/f.u.
Energy of formation   -0.446 eV per atom

Cell and atoms, written as CIF:
```
data_CaAlIr
_space_group_name_H-M_alt 'P -6 m 2'
_space_group_IT_number 187
_space_group_name_Hall 'P -6 2'
_cell_length_a 4.1800
_cell_length_b 4.1800
_cell_length_c 4.1502
_cell_angle_alpha 90.00
_cell_angle_beta 90.00
_cell_angle_gamma 120.00
loop_
_atom_site_label
_atom_site_type_symbol
_atom_site_fract_x
_atom_site_fract_y
_atom_site_fract_z
Ca1 Ca 0.0000 0.0000 0.0000
Al1 Al 0.3333 0.6667 0.5000
Ir1 Ir 0.6667 0.3333 0.5000
```